Record 1
A plane-wave DFT calculation with meta-GGA SCAN was carried out for a crystal of HoRhO3 relaxed with PBEsol.

Summary:
**Crystal system**: orthorhombic

Unit cell a=5.741 b=7.477 c=5.140 alpha=90.00 beta=90.00 gamma=90.00
Space group Pnma (No. 62)
Asymmetric unit:
Ho1 0.088 0.250 0.034
Rh1 0.000 0.000 0.500
O1 0.053 0.750 0.363
O2 0.189 0.561 0.827

Record 2
A plane-wave DFT calculation with meta-GGA SCAN was carried out for a crystal of Ho2Ru2O7 relaxed with PBEsol.

Summary:
**Crystal system**: cubic

Unit cell a=10.034 b=10.034 c=10.034 alpha=90.00 beta=90.00 gamma=90.00
Space group Fd-3m (No. 227, origin choice 2)
Asymmetric unit:
Ho1 0.000 0.000 0.000
Ru1 0.000 0.000 0.500
O1 0.086 0.375 0.875
O2 0.125 0.125 0.125

Number 1: final energy -456.43 eV for the cell shown, size of the total moment 0.00 μB per formula unit. Number 2: final energy -1908.54 eV for the cell shown, size of the total moment 4.00 μB per formula unit.